1.
# Mn2InPt5

A relaxed structure of Mn2InPt5 (PBE, the Alexandria database).

Computed properties:
total energy	-109.375	eV for the cell shown
energy of formation	-426	meV per atom
magnetic moment	9.07	μB/f.u.

Unit cell a=5.613 b=11.115 c=4.067 alpha=90.00 beta=90.00 gamma=90.00
Space group Pbam (No. 55)
Inequivalent atoms, fractional coordinates:
Mn: 0.215 0.135 0.000 [4 per cell]
In: 0.000 0.500 0.500 [2 per cell]
Pt: 0.000 0.000 0.500 [2 per cell]
Pt: 0.029 0.749 0.500 [4 per cell]
Pt: 0.232 0.379 0.000 [4 per cell]

2.
# Na2In2Mo

A relaxed structure of Na2In2Mo (PBE, the Alexandria database).

Computed properties:
total energy	-30.930	eV for the cell shown
energy of formation	696	meV per atom
E above lowest polymorph	0.0000	eV/atom
magnetic moment	1.16	μB/f.u.

Unit cell a=8.534 b=8.534 c=3.024 alpha=90.00 beta=90.00 gamma=90.00
Space group P4/mbm (No. 127)
Inequivalent atoms, fractional coordinates:
Na: 0.118 0.382 0.000 [4 per cell]
In: 0.182 0.682 0.500 [4 per cell]
Mo: 0.000 0.000 0.000 [2 per cell]

3.
# BaCa2Cl

A relaxed structure of BaCa2Cl (PBE, the Alexandria database).

Computed properties:
total energy	-21.424	eV for the cell shown
E above lowest polymorph	0.0308	eV/atom
magnetic moment	0.00	μB/f.u.
ΔE_f (raw)	-0.7349	eV/atom

Unit cell a=4.048 b=6.857 c=11.194 alpha=90.00 beta=90.00 gamma=90.00
Space group Cmmm (No. 65)
Inequivalent atoms, fractional coordinates:
Ba: 0.000 0.000 0.000 [2 per cell]
Ca: 0.000 0.500 0.303 [4 per cell]
Cl: 0.000 0.000 0.500 [2 per cell]

4.
# NaAlBiO4

A relaxed structure of NaAlBiO4 (PBE, the Alexandria database).

Computed properties:
total energy	-164.808	eV for the cell shown
magnetic moment	0.00	μB/f.u.
ΔE_f (raw)	-1.7752	eV/atom

Unit cell a=6.020 b=6.914 c=9.022 alpha=90.00 beta=90.00 gamma=90.00
Space group Imma (No. 74)
Inequivalent atoms, fractional coordinates:
Na: 0.000 0.250 0.140 [4 per cell]
Al: 0.250 0.250 0.750 [4 per cell]
Bi: 0.000 0.000 0.500 [4 per cell]
O: 0.000 0.060 0.747 [8 per cell]
O: 0.240 0.250 0.532 [8 per cell]